The following is a PBE calculation of crystalline CdNi2Mo at its relaxed geometry, from Alexandria via LeMat-Bulk.

Summary:
Density of states at the Fermi level in states/eV/cell: 5.65
Volume in Å³ per cell: 118.5
Energy relative to the elements in meV/atom: 231

abc: 8.460 2.686 5.252
angles: 90.00 96.87 90.00
Space group C2/m (No. 12)
Asymmetric unit:
Cd: 0.000 0.000 0.000
Ni: 0.248 0.000 0.705
Mo: 0.000 0.500 0.500



The following is a PBE calculation of crystalline Cr2CdFeI at its relaxed geometry, from Alexandria via LeMat-Bulk.

Summary:
Density of states at the Fermi level in states/eV/cell: 4.65
Volume in Å³ per cell: 156.5
Formation energy from raw total energies in eV per atom: 1.7929

abc: 5.170 5.170 5.857
angles: 90.00 90.00 90.00
Space group P4/mmm (No. 123)
Asymmetric unit:
Cr: 0.000 0.500 0.000
Cd: 0.000 0.000 0.000
Fe: 0.500 0.500 0.500
I: 0.000 0.000 0.500



The following is a PBE calculation of crystalline Ga7SnPb2 at its relaxed geometry, from Alexandria via LeMat-Bulk.

Summary:
Density of states at the Fermi level in states/eV/cell: 4.37
Volume in Å³ per cell: 229.8
Energy relative to the elements in meV/atom: 48

abc: 4.331 4.331 12.253
angles: 90.00 90.00 90.00
Space group P-4m2 (No. 115)
Asymmetric unit:
Ga: 0.000 0.000 0.000
Ga: 0.000 0.000 0.500
Ga: 0.000 0.500 0.134
Ga: 0.000 0.500 0.345
Ga: 0.500 0.500 0.000
Sn: 0.500 0.500 0.500
Pb: 0.000 0.500 0.758



The following is a PBE calculation of crystalline BHIr2 at its relaxed geometry, from Alexandria via LeMat-Bulk.

Summary:
Density of states at the Fermi level in states/eV/cell: 3.15
Volume in Å³ per cell: 131.1
Electronic total energy in eV per cell: -82.5

abc: 2.8211 2.8211 19.0154
angles: 90.00 90.00 120.00
Space group R-3m (No. 166, hexagonal axes)
Asymmetric unit:
B: 0.0000 0.0000 0.0000
H: 0.0000 0.0000 0.5000
Ir: 0.0000 0.0000 0.4084



The following is a PBE calculation of crystalline Na2H6RhAu at its relaxed geometry, from Alexandria via LeMat-Bulk.

Summary:
Density of states at the Fermi level in states/eV/cell: 1.18
Volume in Å³ per cell: 203.2
Electronic total energy in eV per cell: -70.9

abc: 4.983 4.983 8.183
angles: 90.00 90.00 90.00
Space group I4/mmm (No. 139)
Asymmetric unit:
Na: 0.000 0.500 0.250
H: 0.000 0.000 0.207
H: 0.244 0.244 0.000
Rh: 0.000 0.000 0.000
Au: 0.000 0.000 0.500



The following is a PBE calculation of crystalline DyTmMg14 at its relaxed geometry, from Alexandria via LeMat-Bulk.

Summary:
Density of states at the Fermi level in states/eV/cell: 6.63
Volume in Å³ per cell: 381.2
Energy relative to the elements in meV/atom: -21

abc: 6.918 6.918 7.964
angles: 90.00 90.00 90.00
Space group P4/mmm (No. 123)
Asymmetric unit:
Dy: 0.000 0.000 0.000
Tm: 0.500 0.500 0.000
Mg: 0.000 0.000 0.500
Mg: 0.000 0.500 0.000
Mg: 0.000 0.500 0.500
Mg: 0.251 0.251 0.260
Mg: 0.500 0.500 0.500



The following is a PBE calculation of crystalline RePb2AuN at its relaxed geometry, from Alexandria via LeMat-Bulk.

Summary:
Density of states at the Fermi level in states/eV/cell: 2.07
Volume in Å³ per cell: 115.4
Formation energy from raw total energies in eV per atom: 0.4195

abc: 5.528 5.528 3.776
angles: 90.00 90.00 90.00
Space group P4/mmm (No. 123)
Asymmetric unit:
Re: 0.000 0.000 0.000
Pb: 0.000 0.500 0.000
Au: 0.500 0.500 0.500
N: 0.000 0.000 0.500



The following is a PBE calculation of crystalline LaYMnP2 at its relaxed geometry, from Alexandria via LeMat-Bulk.

Summary:
Density of states at the Fermi level in states/eV/cell: 5.02
Volume in Å³ per cell: 105.2
Energy relative to the elements in meV/atom: -160

abc: 4.775 4.775 4.616
angles: 90.00 90.00 90.00
Space group P4/mmm (No. 123)
Asymmetric unit:
La: 0.000 0.000 0.000
Y: 0.500 0.500 0.000
Mn: 0.000 0.000 0.500
P: 0.000 0.500 0.500